No. 1
# TaCd2Au (PBE, optimized geometry)
# - ΔE to the lowest computed polymorph (eV per atom) = 0.177
# - calculated density (g cm⁻³) = 12.84
# - electronic total energy (eV/atom) = -4.02
# - ΔE_f (meV/atom) = 219
data_TaCd2Au
_chemical_formula_sum 'Ta2 Cd4 Au2'
_cell_length_a 6.0326
_cell_length_b 9.2515
_cell_length_c 2.7932
_cell_angle_alpha 90.00
_cell_angle_beta 90.00
_cell_angle_gamma 90.00
_space_group_name_H-M_alt 'C m m m'
_space_group_IT_number 65
_space_group_name_Hall '-C 2 2'
loop_
_atom_site_label
_atom_site_fract_x
_atom_site_fract_y
_atom_site_fract_z
Ta1 0.0000 0.0000 0.0000
Cd1 0.2500 0.2500 0.5000
Au1 0.0000 0.5000 0.0000

=====

No. 2
# TaCd2Au (PBE, optimized geometry)
# - ΔE to the lowest computed polymorph (eV per atom) = 0.000
# - calculated density (g cm⁻³) = 12.90
# - electronic total energy (eV/atom) = -4.20
# - ΔE_f (meV/atom) = 41
data_TaCd2Au
_chemical_formula_sum 'Ta1 Cd2 Au1'
_cell_length_a 3.0127
_cell_length_b 3.0127
_cell_length_c 8.5472
_cell_angle_alpha 90.00
_cell_angle_beta 90.00
_cell_angle_gamma 90.00
_space_group_name_H-M_alt 'P 4 m m'
_space_group_IT_number 99
loop_
_space_group_symop_operation_xyz
'x,y,z'
'-y,x,z'
'-x,-y,z'
'y,-x,z'
'-x,y,z'
'y,x,z'
'x,-y,z'
'-y,-x,z'
loop_
_atom_site_label
_atom_site_fract_x
_atom_site_fract_y
_atom_site_fract_z
Ta1 0.0000 0.0000 0.0000
Cd1 0.0000 0.0000 0.4749
Cd2 0.5000 0.5000 0.7485
Au1 0.5000 0.5000 0.2248